Material: LiHOF2
Method: DFT, PBE
State: optimized geometry

Structure (CIF):
```
data_LiHOF2
_symmetry_space_group_name_H-M 'P 1'
_symmetry_Int_Tables_number 1
_cell_length_a 3.747
_cell_length_b 3.747
_cell_length_c 3.894
_cell_angle_alpha 90.00
_cell_angle_beta 90.00
_cell_angle_gamma 90.00
loop_
_symmetry_equiv_pos_as_xyz
'x,y,z'
loop_
_atom_site_label
_atom_site_fract_x
_atom_site_fract_y
_atom_site_fract_z
Li1 0.000 0.000 0.000
H1 0.500 0.500 0.500
O1 0.000 0.000 0.500
F1 0.000 0.500 0.000
F2 0.500 0.000 0.000
```

Total energy   -2.94 eV/atom
Symmetry   P4/mmm

Material: LiHO2F
Method: DFT, PBE
State: optimized geometry

Structure (CIF):
```
data_LiHO2F
_symmetry_space_group_name_H-M 'P 1'
_symmetry_Int_Tables_number 1
_cell_length_a 2.803
_cell_length_b 2.803
_cell_length_c 6.008
_cell_angle_alpha 90.00
_cell_angle_beta 90.00
_cell_angle_gamma 90.00
loop_
_symmetry_equiv_pos_as_xyz
'x,y,z'
loop_
_atom_site_label
_atom_site_fract_x
_atom_site_fract_y
_atom_site_fract_z
Li1 0.000 0.000 0.000
H1 0.500 0.500 0.500
O1 0.000 0.500 0.500
O2 0.500 0.000 0.500
F1 0.500 0.500 0.000
```

Total energy   -3.91 eV/atom
Symmetry   P4/mmm

Material: LiHO2F
Method: DFT, PBE
State: optimized geometry

Structure (CIF):
```
data_LiHO2F
_symmetry_space_group_name_H-M 'P 1'
_symmetry_Int_Tables_number 1
_cell_length_a 3.872
_cell_length_b 3.872
_cell_length_c 3.665
_cell_angle_alpha 90.00
_cell_angle_beta 90.00
_cell_angle_gamma 90.00
loop_
_symmetry_equiv_pos_as_xyz
'x,y,z'
loop_
_atom_site_label
_atom_site_fract_x
_atom_site_fract_y
_atom_site_fract_z
Li1 0.000 0.000 0.000
H1 0.500 0.500 0.500
O1 0.000 0.500 0.000
O2 0.500 0.000 0.000
F1 0.000 0.000 0.500
```

Total energy   -3.05 eV/atom
Symmetry   P4/mmm

Material: LiHOF2
Method: DFT, PBE
State: optimized geometry

Structure (CIF):
```
data_LiHOF2
_symmetry_space_group_name_H-M 'P 1'
_symmetry_Int_Tables_number 1
_cell_length_a 4.020
_cell_length_b 4.020
_cell_length_c 2.537
_cell_angle_alpha 90.00
_cell_angle_beta 90.00
_cell_angle_gamma 90.00
loop_
_symmetry_equiv_pos_as_xyz
'x,y,z'
loop_
_atom_site_label
_atom_site_fract_x
_atom_site_fract_y
_atom_site_fract_z
Li1 0.000 0.000 0.000
H1 0.500 0.500 0.500
O1 0.500 0.500 0.000
F1 0.000 0.500 0.500
F2 0.500 0.000 0.500
```

Total energy   -3.68 eV/atom
Symmetry   P4/mmm

Material: Li2H2OF2
Method: DFT, PBE
State: optimized geometry

Structure (CIF):
```
data_Li2H2OF2
_symmetry_space_group_name_H-M 'P 1'
_symmetry_Int_Tables_number 1
_cell_length_a 2.964
_cell_length_b 4.375
_cell_length_c 4.748
_cell_angle_alpha 103.69
_cell_angle_beta 103.79
_cell_angle_gamma 93.62
loop_
_symmetry_equiv_pos_as_xyz
'x,y,z'
loop_
_atom_site_label
_atom_site_fract_x
_atom_site_fract_y
_atom_site_fract_z
Li1 0.138 0.322 0.258
Li2 0.862 0.678 0.742
H1 0.421 0.146 0.853
H2 0.579 0.854 0.147
O1 0.500 0.000 0.000
F1 0.304 0.352 0.681
F2 0.696 0.648 0.319
```

Total energy   -4.70 eV/atom
Symmetry   P-1

Copy entry 4 word for word.
Material: LiHOF2
Method: DFT, PBE
State: optimized geometry

Structure (CIF):
```
data_LiHOF2
_symmetry_space_group_name_H-M 'P 1'
_symmetry_Int_Tables_number 1
_cell_length_a 4.020
_cell_length_b 4.020
_cell_length_c 2.537
_cell_angle_alpha 90.00
_cell_angle_beta 90.00
_cell_angle_gamma 90.00
loop_
_symmetry_equiv_pos_as_xyz
'x,y,z'
loop_
_atom_site_label
_atom_site_fract_x
_atom_site_fract_y
_atom_site_fract_z
Li1 0.000 0.000 0.000
H1 0.500 0.500 0.500
O1 0.500 0.500 0.000
F1 0.000 0.500 0.500
F2 0.500 0.000 0.500
```

Total energy   -3.68 eV/atom
Symmetry   P4/mmm